Here is a geometry-optimized Cs2UCu2O6 structure from the Alexandria database. Energies are from PBE.

Computed properties:
Total magnetization ... 1.20 μB per cell
Space group ... R-3m
Formation energy (no corrections) ... -1.794 eV/atom

a b c (Å): 7.317 7.317 7.317
angles (deg): 49.38 49.38 49.38
Sites, in units of the cell vectors:
Cs 0.214 0.214 0.214
Cs 0.786 0.786 0.786
U 0.000 0.000 0.000
Cu 0.399 0.399 0.399
Cu 0.601 0.601 0.601
O 0.224 0.224 0.749
O 0.224 0.749 0.224
O 0.251 0.776 0.776
O 0.749 0.224 0.224
O 0.776 0.251 0.776
O 0.776 0.776 0.251